Computed, not measured: crystalline Na4La3SbO8 at its relaxed geometry at the GGA-PBE level of DFT.

Summary:
Total moment: 0.00 μB per cell
DOS at the Fermi energy: 0.0000 states/eV per atom
Uncorrected formation energy: -2306.9 meV per atom

Unit cell a=7.017 b=7.017 c=7.017 alpha=62.13 beta=62.13 gamma=62.13
Sites, in units of the cell vectors:
Na: 0.000 0.000 0.000
Na: 0.000 0.500 0.500
Na: 0.500 0.000 0.500
Na: 0.500 0.500 0.000
La: 0.000 0.000 0.500
La: 0.000 0.500 0.000
La: 0.500 0.000 0.000
Sb: 0.500 0.500 0.500
O: 0.238 0.238 0.238
O: 0.246 0.736 0.736
O: 0.264 0.264 0.754
O: 0.264 0.754 0.264
O: 0.736 0.246 0.736
O: 0.736 0.736 0.246
O: 0.754 0.264 0.264
O: 0.762 0.762 0.762

Computed, not measured: crystalline Na2LaSbO4 at its relaxed geometry at the GGA-PBE level of DFT.

Summary:
Total moment: 0.00 μB per cell
Uncorrected formation energy: -1955.9 meV per atom

Unit cell a=5.992 b=3.581 c=6.153 alpha=90.00 beta=109.70 gamma=90.00
Sites, in units of the cell vectors:
Na: 0.000 0.000 0.000
Na: 0.000 0.500 0.500
La: 0.500 0.000 0.500
Sb: 0.500 0.500 0.000
O: 0.276 0.000 0.763
O: 0.283 0.500 0.253
O: 0.717 0.500 0.747
O: 0.724 0.000 0.237